An optimized crystal structure of Li5Fe7O3F13. Source: Alexandria via LeMat-Bulk, functional GGA+U.

The theoretical density is 3.61 Mg/m³. Its size of the total moment is 28.0 μB/f.u. Its space-group type is Cm (8). For the distance to the lowest polymorph of the same formula, the calculation gives 1.65 eV/f.u.

Cell lengths 6.163, 6.163, 10.819 Å; angles 73.29, 73.29, 58.71 degrees
Site moments in Bohr magnetons follow the coordinates.
Atoms (fractional coordinates):
Li: 0.011 0.011 0.991  0.00
Li: 0.115 0.115 0.634  0.01
Li: 0.597 0.597 0.132  0.01
Li: 0.524 0.524 0.506  0.01
Li: 0.557 0.557 0.808  0.00
Fe: 0.320 0.320 0.062  3.79
Fe: 0.064 0.064 0.313  3.79
Fe: 0.063 0.564 0.313  3.78
Fe: 0.564 0.063 0.313  3.78
Fe: 0.026 0.609 0.808  3.80
Fe: 0.609 0.026 0.808  3.80
Fe: 0.813 0.813 0.561  3.77
O: 0.404 0.404 0.199  0.09
O: 0.723 0.723 0.427  0.08
O: 0.926 0.926 0.675  0.16
F: 0.181 0.181 0.439  0.06
F: 0.701 0.204 0.428  0.06
F: 0.204 0.701 0.428  0.06
F: 0.936 0.422 0.188  0.06
F: 0.422 0.936 0.188  0.06
F: 0.210 0.210 0.933  0.04
F: 0.432 0.432 0.705  0.04
F: 0.950 0.950 0.183  0.06
F: 0.187 0.679 0.930  0.04
F: 0.679 0.187 0.930  0.04
F: 0.444 0.922 0.703  0.05
F: 0.922 0.444 0.703  0.05
F: 0.670 0.670 0.941  0.04